1.
19
Lattice="5.0503 2.9158 4.9567 -5.0503 2.9158 4.9567 0.0000 -5.8316 4.9567" Properties=species:S:1:pos:R:3 comment="PBE-GGA SrLi17Nd, relaxed" magmom_total_mub_per_cell=0.1 mass_density_g_cm3=1.327 volume_a3_per_cell=437.9 n_ef_per_ev_fu=13.569 delta_e_f_ev_per_atom=0.051 crystal_system=trigonal pbc="T T T"
Sr 0.0000 0.0000 0.0000
Li -1.5280 -2.5468 5.1965
Li -2.9696 -0.0499 5.1965
Li -2.4165 -1.3952 7.9158
Li 0.0000 0.0000 3.7789
Li 0.0000 -2.9470 7.6717
Li -2.5522 1.4735 7.6717
Li 1.5280 -2.5468 5.1965
Li -1.4416 2.5967 5.1965
Li 0.0000 0.0000 6.6580
Li -2.4638 -1.4225 12.3738
Li 2.9696 -0.0499 5.1965
Li 1.4416 2.5967 5.1965
Li 2.4165 -1.3952 7.9158
Li 0.0000 2.7904 7.9158
Li 2.5522 1.4735 7.6717
Li 2.4638 -1.4225 12.3738
Li 0.0000 2.8449 12.3738
Nd 0.0000 0.0000 10.2617


2.
4
Lattice="3.9690 0.0000 0.0000 0.0000 3.9690 0.0000 0.0000 0.0000 8.1892" Properties=species:S:1:pos:R:3 comment="PBE-GGA SrLi2Nd, relaxed" magmom_total_mub_per_cell=0.2 de_polymorph_ev_per_fu=0.000 mass_density_g_cm3=3.163 volume_a3_per_cell=129.0 n_ef_per_ev_fu=5.711 delta_e_f_ev_per_atom=0.117 crystal_system=tetragonal pbc="T T T"
Sr 0.0000 0.0000 0.0000
Li 1.9845 1.9845 2.2613
Li 1.9845 1.9845 5.9279
Nd 0.0000 0.0000 4.0946


3.
16
Lattice="4.5838 2.6465 7.5691 -4.5838 2.6465 7.5691 0.0000 -5.2930 7.5691" Properties=species:S:1:pos:R:3 comment="PBE-GGA Sr4LiNd3Te8, relaxed" magmom_total_mub_per_cell=0.0 raw_formation_energy_kj_per_mol_atoms=-148 mass_density_g_cm3=5.458 volume_a3_per_cell=550.9 n_ef_per_ev_fu=4.562 crystal_system=trigonal pbc="T T T"
Sr 0.0000 0.0000 0.0000
Sr -2.2919 -1.3232 7.5691
Sr -2.2919 1.3232 15.1382
Sr 0.0000 2.6465 7.5691
Li 0.0000 0.0000 11.3537
Nd -4.5838 0.0000 11.3537
Nd -2.2919 1.3232 3.7846
Nd 2.2919 1.3232 3.7846
Te 0.0000 0.0000 5.6021
Te -2.2636 -1.3069 13.1324
Te 0.0000 -2.6138 9.5749
Te -2.2636 1.3069 9.5749
Te 2.2636 -1.3069 13.1324
Te 0.0000 2.6138 13.1324
Te 2.2636 1.3069 9.5750
Te 0.0000 0.0000 17.1053